(1)
! MgAg3F (PBE, relaxed); values from VASP
&SYSTEM
  ibrav = 0, nat = 5, ntyp = 3
/
ATOMIC_SPECIES
Mg 24.30 Mg.upf
Ag 107.87 Ag.upf
F 19.00 F.upf
CELL_PARAMETERS angstrom
4.643 0.000 0.000
0.000 4.643 0.000
0.000 0.000 4.643
ATOMIC_POSITIONS crystal
Mg 0.000 0.000 0.000
Ag 0.000 0.500 0.500
Ag 0.500 0.000 0.500
Ag 0.500 0.500 0.000
F 0.500 0.500 0.500
! space group	Pm-3m
! raw total energy	-2.5224	eV per atom
! energy above the most stable polymorph in this dataset	0.000	eV/f.u.

(2)
! As4Os (PBE, relaxed); values from VASP
&SYSTEM
  ibrav = 0, nat = 5, ntyp = 2
/
ATOMIC_SPECIES
As 74.92 As.upf
Os 190.23 Os.upf
CELL_PARAMETERS angstrom
-2.569 2.569 3.758
2.569 -2.569 3.758
2.569 2.569 -3.758
ATOMIC_POSITIONS crystal
As 0.172 0.172 0.000
As 0.250 0.750 0.500
As 0.750 0.250 0.500
As 0.828 0.828 0.000
Os 0.500 0.500 0.000
! space group	I4/mmm
! raw total energy	-5.0489	eV per atom
! formation energy	0.9166	eV/atom
! energy above the most stable polymorph in this dataset	1.501	eV/f.u.

(3)
! CeU4P5 (PBE, relaxed); values from VASP
&SYSTEM
  ibrav = 0, nat = 10, ntyp = 3
/
ATOMIC_SPECIES
Ce 140.12 Ce.upf
U 238.03 U.upf
P 30.97 P.upf
CELL_PARAMETERS angstrom
-1.976 2.804 9.968
1.976 -2.804 9.968
1.976 2.804 -9.968
ATOMIC_POSITIONS crystal
Ce 0.000 0.000 0.000
U 0.202 0.202 0.000
U 0.400 0.400 0.000
U 0.600 0.600 0.000
U 0.798 0.798 0.000
P 0.104 0.604 0.500
P 0.301 0.801 0.500
P 0.500 0.000 0.500
P 0.699 0.199 0.500
P 0.896 0.396 0.500
! space group	Immm
! raw total energy	-8.8709	eV per atom
! formation energy	-1.0573	eV/atom

(4)
! BaMgCo2Cl8 (PBE, relaxed); values from VASP
&SYSTEM
  ibrav = 0, nat = 12, ntyp = 4
/
ATOMIC_SPECIES
Ba 137.33 Ba.upf
Mg 24.30 Mg.upf
Co 58.93 Co.upf
Cl 35.45 Cl.upf
CELL_PARAMETERS angstrom
6.339 0.000 0.000
-3.170 5.490 0.000
0.000 0.000 8.821
ATOMIC_POSITIONS crystal
Ba 0.000 0.000 0.000
Mg 0.000 0.000 0.500
Co 0.333 0.667 0.738
Co 0.667 0.333 0.262
Cl 0.000 0.309 0.678
Cl 0.000 0.691 0.322
Cl 0.309 0.310 0.322
Cl 0.310 0.000 0.678
Cl 0.333 0.667 0.992
Cl 0.667 0.333 0.008
Cl 0.690 0.000 0.322
Cl 0.691 0.690 0.678
! space group	P-3
! raw total energy	-4.0328	eV per atom

- Which of these has the highest raw total energy?
  MgAg3F

Copy entry 4 word for word.
! BaMgCo2Cl8 (PBE, relaxed); values from VASP
&SYSTEM
  ibrav = 0, nat = 12, ntyp = 4
/
ATOMIC_SPECIES
Ba 137.33 Ba.upf
Mg 24.30 Mg.upf
Co 58.93 Co.upf
Cl 35.45 Cl.upf
CELL_PARAMETERS angstrom
6.339 0.000 0.000
-3.170 5.490 0.000
0.000 0.000 8.821
ATOMIC_POSITIONS crystal
Ba 0.000 0.000 0.000
Mg 0.000 0.000 0.500
Co 0.333 0.667 0.738
Co 0.667 0.333 0.262
Cl 0.000 0.309 0.678
Cl 0.000 0.691 0.322
Cl 0.309 0.310 0.322
Cl 0.310 0.000 0.678
Cl 0.333 0.667 0.992
Cl 0.667 0.333 0.008
Cl 0.690 0.000 0.322
Cl 0.691 0.690 0.678
! space group	P-3
! raw total energy	-4.0328	eV per atom

- What is the raw total energy in the second record?
  -5.0489 eV per atom